# TbNdTeI | the Alexandria database | PBE-GGA | optimized geometry
data_TbNdTeI
_cell_length_a 7.670
_cell_length_b 7.670
_cell_length_c 7.670
_cell_angle_alpha 90.00
_cell_angle_beta 90.00
_cell_angle_gamma 90.00
_space_group_name_H-M_alt 'F -4 3 m'
_space_group_IT_number 216
_space_group_name_Hall 'F -4 2 3'
loop_
_atom_site_label
_atom_site_fract_x
_atom_site_fract_y
_atom_site_fract_z
Tb1 0.000 0.000 0.000
Nd1 0.000 0.000 0.500
Te1 0.250 0.250 0.750
I1 0.250 0.250 0.250
# N(E_F), states/eV/atom: 0.82
# Calculated volume, Å³ per atom: 28.20
# Energy, eV/atom: -4.560
# E_form (uncorrected), eV/atom: -1.04

***

# TbScZn2Au4 | the Alexandria database | PBE-GGA | optimized geometry
data_TbScZn2Au4
_cell_length_a 4.7441
_cell_length_b 4.7441
_cell_length_c 23.3975
_cell_angle_alpha 90.00
_cell_angle_beta 90.00
_cell_angle_gamma 120.00
_space_group_name_H-M_alt 'R -3 m'
_space_group_IT_number 166
_space_group_name_Hall '-R 3 2"'
loop_
_atom_site_label
_atom_site_fract_x
_atom_site_fract_y
_atom_site_fract_z
Tb1 0.0000 0.0000 0.0000
Sc1 0.0000 0.0000 0.5000
Zn1 0.0000 0.0000 0.2499
Au1 0.0000 0.0000 0.1304
Au2 0.0000 0.0000 0.3813
# N(E_F), states/eV/atom: 0.45
# Calculated volume, Å³ per atom: 19.00
# ΔH_f (0 K), eV/f.u.: -4.954
# Energy, eV/atom: -3.947

***

# ZnH | the Alexandria database | PBE-GGA | optimized geometry
data_ZnH
_cell_length_a 2.749
_cell_length_b 4.522
_cell_length_c 4.902
_cell_angle_alpha 114.89
_cell_angle_beta 106.25
_cell_angle_gamma 90.09
_space_group_name_H-M_alt 'P 1'
_space_group_IT_number 1
loop_
_space_group_symop_operation_xyz
'x,y,z'
loop_
_atom_site_label
_atom_site_fract_x
_atom_site_fract_y
_atom_site_fract_z
Zn1 0.000 0.000 0.000
Zn2 0.368 0.474 0.738
H1 0.173 0.339 0.343
H2 0.881 0.227 0.764
# N(E_F), states/eV/atom: 0.02
# Calculated volume, Å³ per atom: 13.14
# Energy, eV/atom: -2.134

***

# HfSb2TeSe | the Alexandria database | PBE-GGA | optimized geometry
data_HfSb2TeSe
_cell_length_a 5.314
_cell_length_b 5.314
_cell_length_c 5.249
_cell_angle_alpha 90.00
_cell_angle_beta 90.00
_cell_angle_gamma 90.00
_space_group_name_H-M_alt 'P 4/m m m'
_space_group_IT_number 123
_space_group_name_Hall '-P 4 2'
loop_
_atom_site_label
_atom_site_fract_x
_atom_site_fract_y
_atom_site_fract_z
Hf1 0.000 0.000 0.000
Sb1 0.000 0.500 0.500
Te1 0.500 0.500 0.000
Se1 0.500 0.500 0.500
# Offset from the most stable computed form, meV per atom: 399
# N(E_F), states/eV/atom: 0.84
# Calculated volume, Å³ per atom: 29.64
# Energy, eV/atom: -4.231
# E_form (uncorrected), eV/atom: 0.73

***

# ReTc2W | the Alexandria database | PBE-GGA | optimized geometry
data_ReTc2W
_cell_length_a 3.109
_cell_length_b 4.437
_cell_length_c 8.834
_cell_angle_alpha 90.00
_cell_angle_beta 90.00
_cell_angle_gamma 90.00
_space_group_name_H-M_alt 'I m m m'
_space_group_IT_number 71
_space_group_name_Hall '-I 2 2'
loop_
_atom_site_label
_atom_site_fract_x
_atom_site_fract_y
_atom_site_fract_z
Re1 0.000 0.000 0.000
Tc1 0.000 0.500 0.236
W1 0.000 0.000 0.500
# Offset from the most stable computed form, meV per atom: 33
# N(E_F), states/eV/atom: 0.98
# Calculated volume, Å³ per atom: 15.23
# ΔH_f (0 K), eV/f.u.: 0.590
# Energy, eV/atom: -11.386

***

# LiCa2H6Ir | the Alexandria database | PBE-GGA | optimized geometry
data_LiCa2H6Ir
_cell_length_a 5.1021
_cell_length_b 5.1021
_cell_length_c 4.9813
_cell_angle_alpha 90.00
_cell_angle_beta 90.00
_cell_angle_gamma 120.00
_space_group_name_H-M_alt 'P -3 m 1'
_space_group_IT_number 164
_space_group_name_Hall '-P 3 2"'
loop_
_atom_site_label
_atom_site_fract_x
_atom_site_fract_y
_atom_site_fract_z
Li1 0.0000 0.0000 0.0000
Ca1 0.3333 0.6667 0.2873
H1 0.1592 0.3185 0.7090
Ir1 0.0000 0.0000 0.5000
# N(E_F), states/eV/atom: 0.30
# Calculated volume, Å³ per atom: 11.23
# Energy, eV/atom: -3.948

***

# CsCdNiB2 | the Alexandria database | PBE-GGA | optimized geometry
data_CsCdNiB2
_cell_length_a 4.219
_cell_length_b 4.219
_cell_length_c 6.123
_cell_angle_alpha 90.00
_cell_angle_beta 90.00
_cell_angle_gamma 90.00
_space_group_name_H-M_alt 'P 4/m m m'
_space_group_IT_number 123
_space_group_name_Hall '-P 4 2'
loop_
_atom_site_label
_atom_site_fract_x
_atom_site_fract_y
_atom_site_fract_z
Cs1 0.000 0.000 0.000
Cd1 0.500 0.500 0.000
Ni1 0.000 0.000 0.500
B1 0.000 0.500 0.500
# N(E_F), states/eV/atom: 0.88
# Calculated volume, Å³ per atom: 21.80
# ΔH_f (0 K), eV/f.u.: 6.592
# Energy, eV/atom: -2.863

***

# CuTcO2 | the Alexandria database | PBE-GGA | optimized geometry
data_CuTcO2
_cell_length_a 4.171
_cell_length_b 4.171
_cell_length_c 11.177
_cell_angle_alpha 90.00
_cell_angle_beta 90.00
_cell_angle_gamma 90.00
_space_group_name_H-M_alt 'I -4 2 d'
_space_group_IT_number 122
_space_group_name_Hall 'I -4 2bw'
loop_
_atom_site_label
_atom_site_fract_x
_atom_site_fract_y
_atom_site_fract_z
Cu1 0.000 0.000 0.000
Tc1 0.000 0.000 0.500
O1 0.221 0.250 0.625
# Offset from the most stable computed form, meV per atom: 428
# N(E_F), states/eV/atom: 0.48
# Calculated volume, Å³ per atom: 12.15
# Energy, eV/atom: -6.530
# E_form (uncorrected), eV/atom: -0.44

***

# TaBeIr | the Alexandria database | PBE-GGA | optimized geometry
data_TaBeIr
_cell_length_a 10.983
_cell_length_b 3.419
_cell_length_c 6.394
_cell_angle_alpha 90.00
_cell_angle_beta 90.00
_cell_angle_gamma 90.00
_space_group_name_H-M_alt 'P m m a'
_space_group_IT_number 51
loop_
_space_group_symop_operation_xyz
'x,y,z'
'-x,-y,-z'
'-x+1/2,-y,z'
'x+1/2,y,-z'
'x+1/2,-y,-z'
'-x+1/2,y,z'
'-x,y,-z'
'x,-y,z'
loop_
_atom_site_label
_atom_site_fract_x
_atom_site_fract_y
_atom_site_fract_z
Ta1 0.042 0.000 0.231
Ta2 0.250 0.000 0.854
Be1 0.092 0.500 0.948
Be2 0.250 0.000 0.446
Ir1 0.122 0.500 0.576
Ir2 0.250 0.500 0.198
# Offset from the most stable computed form, meV per atom: 0
# N(E_F), states/eV/atom: 0.34
# Calculated volume, Å³ per atom: 13.34
# ΔH_f (0 K), eV/f.u.: -1.866
# Energy, eV/atom: -8.769

***

# MnH2Pd3 | the Alexandria database | PBE-GGA | optimized geometry
data_MnH2Pd3
_cell_length_a 14.711
_cell_length_b 2.863
_cell_length_c 6.402
_cell_angle_alpha 90.00
_cell_angle_beta 91.78
_cell_angle_gamma 90.00
_space_group_name_H-M_alt 'C 1 2/m 1'
_space_group_IT_number 12
loop_
_space_group_symop_operation_xyz
'x,y,z'
'-x,-y,-z'
'-x,y,-z'
'x,-y,z'
'x+1/2,y+1/2,z'
'-x+1/2,-y+1/2,-z'
'-x+1/2,y+1/2,-z'
'x+1/2,-y+1/2,z'
loop_
_atom_site_label
_atom_site_fract_x
_atom_site_fract_y
_atom_site_fract_z
Mn1 0.206 0.000 0.058
H1 0.055 0.500 0.160
H2 0.198 0.000 0.349
Pd1 0.070 0.000 0.340
Pd2 0.076 0.500 0.875
Pd3 0.206 0.000 0.654
# N(E_F), states/eV/atom: 0.65
# Calculated volume, Å³ per atom: 11.23
# Energy, eV/atom: -5.146

***

# RbOsRh | the Alexandria database | PBE-GGA | optimized geometry
data_RbOsRh
_cell_length_a 4.236
_cell_length_b 4.237
_cell_length_c 11.913
_cell_angle_alpha 80.05
_cell_angle_beta 79.83
_cell_angle_gamma 60.01
_space_group_name_H-M_alt 'P -1'
_space_group_IT_number 2
loop_
_space_group_symop_operation_xyz
'x,y,z'
'-x,-y,-z'
loop_
_atom_site_label
_atom_site_fract_x
_atom_site_fract_y
_atom_site_fract_z
Rb1 0.229 0.237 0.308
Os1 0.334 0.334 0.999
Rh1 0.038 0.036 0.888
# Offset from the most stable computed form, meV per atom: 0
# N(E_F), states/eV/atom: 1.07
# Calculated volume, Å³ per atom: 30.23
# ΔH_f (0 K), eV/f.u.: 1.435
# Energy, eV/atom: -6.038

***

# Re2SiCl | the Alexandria database | PBE-GGA | optimized geometry
data_Re2SiCl
_cell_length_a 2.765
_cell_length_b 4.250
_cell_length_c 10.776
_cell_angle_alpha 90.00
_cell_angle_beta 90.00
_cell_angle_gamma 90.00
_space_group_name_H-M_alt 'I m m 2'
_space_group_IT_number 44
loop_
_space_group_symop_operation_xyz
'x,y,z'
'-x,-y,z'
'-x,y,z'
'x,-y,z'
'x+1/2,y+1/2,z+1/2'
'-x+1/2,-y+1/2,z+1/2'
'-x+1/2,y+1/2,z+1/2'
'x+1/2,-y+1/2,z+1/2'
loop_
_atom_site_label
_atom_site_fract_x
_atom_site_fract_y
_atom_site_fract_z
Re1 0.000 0.000 0.000
Re2 0.000 0.500 0.292
Si1 0.000 0.500 0.718
Cl1 0.000 0.000 0.513
# Offset from the most stable computed form, meV per atom: 423
# N(E_F), states/eV/atom: 0.58
# Calculated volume, Å³ per atom: 15.83
# Energy, eV/atom: -7.354
# E_form (uncorrected), eV/atom: 0.69